Below is Si2Hg2Sb after structural relaxation, with properties calculated at the GGA-PBE level.

Cell and atoms, written as extended XYZ:
```
5
Lattice="3.480 0.000 0.000 0.000 3.480 0.000 1.740 1.740 9.336" Properties=species:S:1:pos:R:3 pbc="T T T"
Sb 0.000 0.000 0.000
Hg 1.740 1.740 2.142
Hg 3.480 3.480 7.195
Si 1.740 3.480 4.668
Si 3.480 1.740 4.668
```

## Properties
energy relative to the elements, uncorrected	0.3522	eV per atom
spin magnetization	0.0	μB per formula unit
E above lowest polymorph	0.0	meV/atom
crystal system	tetragonal

***

Below is PmMgAl2 after structural relaxation, with properties calculated at the GGA-PBE level.

Cell and atoms, written as extended XYZ:
```
4
Lattice="-0.054 -3.492 -3.581 4.272 -1.399 -2.194 1.906 -4.536 0.901" Properties=species:S:1:pos:R:3 pbc="T T T"
Al 4.593 -7.071 -3.656
Al 1.531 -2.357 -1.219
Mg 0.000 0.000 0.000
Pm 3.062 -4.714 -2.437
```

## Properties
spin magnetization	0.0	μB per formula unit
E above lowest polymorph	118.4	meV/atom
calculated formation energy	-19	kJ per mole of atoms
crystal system	cubic

***

Below is SiBBr2 after structural relaxation, with properties calculated at the GGA-PBE level.

Cell and atoms, written as extended XYZ:
```
4
Lattice="1.990 0.000 8.419 -0.995 1.723 8.419 -0.995 -1.723 8.419" Properties=species:S:1:pos:R:3 pbc="T T T"
Br 0.000 0.000 2.635
Br 0.000 0.000 22.620
B 0.000 0.000 12.628
Si 0.000 0.000 0.000
```

## Properties
energy relative to the elements, uncorrected	1.0174	eV per atom
spin magnetization	0.0	μB per formula unit
E above lowest polymorph	22.1	meV/atom
crystal system	trigonal

***

Below is Tb9CeNd2 after structural relaxation, with properties calculated at the GGA-PBE level.

Cell and atoms, written as extended XYZ:
```
12
Lattice="-0.707 4.129 2.836 -4.601 0.596 -2.015 -5.935 -8.579 11.012" Properties=species:S:1:pos:R:3 pbc="T T T"
Tb -6.612 -3.359 7.755
Tb -2.654 2.363 0.410
Tb -1.322 0.664 3.216
Tb -7.267 -6.880 8.207
Tb -5.320 -5.114 10.632
Tb -4.631 -0.495 4.078
Tb -3.269 -1.102 0.790
Tb -3.321 -2.225 6.924
Tb -5.268 -3.991 4.499
Ce 0.000 0.000 0.000
Nd -3.967 -5.735 7.361
Nd -1.968 -2.844 3.651
```

## Properties
spin magnetization	0.8	μB per formula unit
calculated formation energy	3	kJ per mole of atoms
crystal system	tetragonal

***

Below is Ac6Pd2Pt3I after structural relaxation, with properties calculated at the GGA-PBE level.

Cell and atoms, written as extended XYZ:
```
12
Lattice="4.396 0.000 0.000 0.000 9.261 0.258 -2.198 -2.742 9.445" Properties=species:S:1:pos:R:3 pbc="T T T"
Pd 0.000 2.144 3.226
Pd 2.198 4.375 6.477
Ac 0.000 6.637 0.190
Ac 0.000 2.005 6.427
Ac 2.198 4.514 3.276
Ac 2.198 -0.118 9.513
Ac 0.000 6.725 6.273
Ac 2.198 -0.206 3.430
I 2.198 0.000 0.000
Pt 2.198 -0.288 6.419
Pt 2.198 4.631 0.129
Pt 0.000 6.807 3.284
```

## Properties
energy relative to the elements, uncorrected	-1.0074	eV per atom
spin magnetization	0.0	μB per formula unit
crystal system	monoclinic

***

Below is NaZn3Bi after structural relaxation, with properties calculated at the GGA-PBE level.

Cell and atoms, written as extended XYZ:
```
5
Lattice="-3.814 -2.949 2.788 0.146 -3.923 -3.950 4.056 -2.633 2.764" Properties=species:S:1:pos:R:3 pbc="T T T"
Zn 0.073 -1.961 -1.975
Zn -1.907 -1.475 1.394
Zn 2.028 -1.316 1.382
Na 0.194 -4.752 0.801
Bi 0.000 0.000 0.000
```

## Properties
spin magnetization	0.0	μB per formula unit
E above lowest polymorph	0.0	meV/atom
calculated formation energy	43	kJ per mole of atoms
crystal system	cubic

***

Below is SiBAu after structural relaxation, with properties calculated at the GGA-PBE level.

Cell and atoms, written as extended XYZ:
```
6
Lattice="-4.505 -1.281 -1.842 -0.001 -0.709 -3.400 -0.020 -5.685 0.268" Properties=species:S:1:pos:R:3 pbc="T T T"
B -0.229 -2.090 -1.460
B -3.111 -3.563 -2.646
Si -2.054 -3.101 -0.962
Si -4.326 -2.029 -1.765
Au -4.326 -5.455 -2.372
Au -1.992 -6.079 -1.032
```

## Properties
energy relative to the elements, uncorrected	0.1743	eV per atom
spin magnetization	0.0	μB per formula unit
crystal system	triclinic

***

Below is LiLa3Ce3Se8 after structural relaxation, with properties calculated at the GGA-PBE level.

Cell and atoms, written as extended XYZ:
```
15
Lattice="8.435 0.000 0.000 -4.218 7.305 -0.025 0.000 -4.846 6.969" Properties=species:S:1:pos:R:3 pbc="T T T"
Se 2.141 3.689 5.122
Se -2.141 3.689 5.122
Se 4.218 0.018 5.171
Se 0.000 2.441 1.772
Se 0.000 -0.019 5.135
Se 6.359 -1.230 1.821
Se 2.077 -1.230 1.821
Se 4.218 2.479 1.808
Ce 4.218 -2.423 3.484
Ce -2.109 1.230 3.472
Ce 2.109 1.230 3.471
La 0.000 0.000 0.000
La -2.109 3.653 -0.013
La 2.109 3.653 -0.013
Li 0.000 -2.423 3.484
```

## Properties
energy relative to the elements, uncorrected	-1.8277	eV per atom
spin magnetization	2.9	μB per formula unit
crystal system	trigonal

***

Below is Y2Zn2AgPt5 after structural relaxation, with properties calculated at the GGA-PBE level.

Cell and atoms, written as extended XYZ:
```
20
Lattice="3.862 0.000 0.000 0.000 9.571 0.000 0.000 0.000 9.571" Properties=species:S:1:pos:R:3 pbc="T T T"
Zn 0.000 5.946 8.410
Zn 0.000 1.160 5.946
Zn 0.000 8.410 3.625
Zn 0.000 3.625 1.160
Y 0.000 3.090 7.875
Y 0.000 6.481 1.695
Y 0.000 1.695 3.090
Y 0.000 7.875 6.481
Pt 1.931 1.971 0.646
Pt 1.931 5.432 6.756
Pt 1.931 2.814 5.432
Pt 1.931 6.756 4.139
Pt 1.931 7.600 8.924
Pt 1.931 8.924 1.971
Pt 1.931 4.785 0.000
Pt 1.931 4.139 2.814
Pt 1.931 0.000 4.785
Pt 1.931 0.646 7.600
Ag 0.000 4.785 4.785
Ag 0.000 0.000 0.000
```

## Properties
spin magnetization	0.0	μB per formula unit
calculated formation energy	-73	kJ per mole of atoms
crystal system	tetragonal

***

Below is Cs2TaCu2Se6 after structural relaxation, with properties calculated at the GGA-PBE level.

Cell and atoms, written as extended XYZ:
```
11
Lattice="-6.718 0.822 -2.970 -3.920 -5.946 -1.975 -6.540 -1.960 5.054" Properties=species:S:1:pos:R:3 pbc="T T T"
Se -6.062 -4.832 -1.078
Se -7.507 -2.694 2.783
Se -11.116 -2.253 1.187
Se -7.565 -1.196 -1.613
Se -9.613 -5.889 1.722
Se -9.670 -4.391 -2.674
Cu -9.512 -3.620 2.122
Cu -7.665 -3.465 -2.013
Cs -12.689 -5.297 -0.353
Cs -4.489 -1.788 0.462
Ta 0.000 0.000 0.000
```

## Properties
energy relative to the elements, uncorrected	-0.5450	eV per atom
spin magnetization	0.0	μB per formula unit
crystal system	trigonal

***

Below is LiCrHg2 after structural relaxation, with properties calculated at the GGA-PBE level.

Cell and atoms, written as extended XYZ:
```
4
Lattice="4.727 0.000 0.000 0.000 3.285 0.005 0.000 -0.008 4.727" Properties=species:S:1:pos:R:3 pbc="T T T"
Cr 2.364 2.046 4.140
Li 0.000 2.050 1.774
Hg 2.364 0.407 1.775
Hg 0.000 0.403 4.136
```

## Properties
spin magnetization	3.7	μB per formula unit
calculated formation energy	6	kJ per mole of atoms
crystal system	tetragonal

***

Below is Fe2AgW after structural relaxation, with properties calculated at the GGA-PBE level.

Cell and atoms, written as extended XYZ:
```
4
Lattice="2.671 -0.010 0.000 -0.838 2.536 0.000 0.000 0.000 8.596" Properties=species:S:1:pos:R:3 pbc="T T T"
Fe 0.000 0.000 4.209
Fe 0.000 0.000 0.089
W 0.916 1.263 2.149
Ag 0.916 1.263 6.447
```

## Properties
spin magnetization	4.6	μB per formula unit
E above lowest polymorph	0.0	meV/atom
calculated formation energy	29	kJ per mole of atoms
crystal system	orthorhombic

***

no.,density (g/cm3)
1,8.505
2,4.189
3,3.811
4,7.953
5,9.796
6,4.116
7,8.915
8,5.720
9,13.068
10,5.006
11,10.409
12,11.520